# BaCa3Pd8, relaxed, DFT PBE-GGA
data_BaCa3Pd8
_chemical_formula_sum 'Ba1 Ca3 Pd8'
_space_group_name_H-M_alt 'P 3 m 1'
_space_group_IT_number 156
_cell_length_a 5.5364
_cell_length_b 5.5364
_cell_length_c 9.1069
_cell_angle_alpha 90.00
_cell_angle_beta 90.00
_cell_angle_gamma 120.00
loop_
_space_group_symop_operation_xyz
'x,y,z'
'-y,x-y,z'
'-x+y,-x,z'
'-y,-x,z'
'-x+y,y,z'
'x,x-y,z'
loop_
_atom_site_label
_atom_site_fract_x
_atom_site_fract_y
_atom_site_fract_z
_atom_site_occupancy
Ba1 0.0000 0.0000 0.0000 1
Ca1 0.0000 0.0000 0.3725 1
Ca2 0.6667 0.3333 0.4928 1
Ca3 0.6667 0.3333 0.8591 1
Pd1 0.1653 0.3305 0.6767 1
Pd2 0.3333 0.6667 0.4327 1
Pd3 0.3333 0.6667 0.9296 1
Pd4 0.5019 0.0038 0.1891 1
# Volume ... 20.15 A^3/atom
# Total energy ... -4.7369 eV per atom
# Crystal system ... trigonal
# Magnetization ... 0.0 μB/f.u.
# Energy relative to the elements ... -0.6144 eV/atom


# CuTcAgGe2, relaxed, DFT PBE-GGA
data_CuTcAgGe2
_chemical_formula_sum 'Cu1 Tc1 Ag1 Ge2'
_space_group_name_H-M_alt 'P 4/m m m'
_space_group_IT_number 123
_space_group_name_Hall '-P 4 2'
_cell_length_a 4.6907
_cell_length_b 4.6907
_cell_length_c 5.2723
_cell_angle_alpha 90.00
_cell_angle_beta 90.00
_cell_angle_gamma 90.00
loop_
_atom_site_label
_atom_site_fract_x
_atom_site_fract_y
_atom_site_fract_z
_atom_site_occupancy
Cu1 0.0000 0.0000 0.0000 1
Tc1 0.5000 0.5000 0.5000 1
Ag1 0.5000 0.5000 0.0000 1
Ge1 0.0000 0.5000 0.5000 1
# Volume ... 23.20 A^3/atom
# Total energy ... -4.4886 eV per atom
# Crystal system ... tetragonal
# Magnetization ... 0.0 μB/f.u.
# Energy relative to the elements ... 0.8210 eV/atom


# ScHgTe2, relaxed, DFT PBE-GGA
data_ScHgTe2
_chemical_formula_sum 'Sc2 Hg2 Te4'
_space_group_name_H-M_alt 'A m m 2'
_space_group_IT_number 38
_cell_length_a 4.3391
_cell_length_b 4.0470
_cell_length_c 12.4979
_cell_angle_alpha 90.00
_cell_angle_beta 90.00
_cell_angle_gamma 90.00
loop_
_space_group_symop_operation_xyz
'x,y,z'
'-x,-y,z'
'-x,y,z'
'x,-y,z'
'x,y+1/2,z+1/2'
'-x,-y+1/2,z+1/2'
'-x,y+1/2,z+1/2'
'x,-y+1/2,z+1/2'
loop_
_atom_site_label
_atom_site_fract_x
_atom_site_fract_y
_atom_site_fract_z
_atom_site_occupancy
Sc1 0.0000 0.0000 0.0000 1
Hg1 0.5000 0.0000 0.8171 1
Te1 0.0000 0.0000 0.3207 1
Te2 0.5000 0.0000 0.5779 1
# Volume ... 27.43 A^3/atom
# Formation energy from raw total energies ... -0.651 eV per atom
# Total energy ... -3.8803 eV per atom
# Crystal system ... orthorhombic
# Magnetization ... 0.0 μB/f.u.